An optimized crystal structure of GdBiN2O, computed with PBE-GGA.

- energy (eV per atom) = -6.751

abc: 9.222 7.034 11.958
angles: 90.00 130.17 90.00
Element x y z (fractional)
N: 0.140 0.746 0.220
N: 0.861 0.783 0.329
N: 0.717 0.514 0.021
N: 0.256 0.518 0.552
N: 0.283 0.014 0.479
N: 0.861 0.717 0.829
N: 0.139 0.283 0.171
N: 0.140 0.754 0.720
N: 0.256 0.982 0.052
N: 0.283 0.486 0.979
N: 0.744 0.482 0.448
N: 0.717 0.986 0.521
N: 0.860 0.254 0.780
N: 0.139 0.217 0.671
N: 0.744 0.018 0.948
N: 0.860 0.246 0.280
Bi: 0.856 0.247 0.098
Bi: 0.142 0.258 0.991
Bi: 0.856 0.253 0.598
Bi: 0.858 0.742 0.009
Bi: 0.142 0.242 0.491
Bi: 0.144 0.747 0.402
Bi: 0.144 0.753 0.902
Bi: 0.858 0.758 0.509
O: 0.520 0.754 0.268
O: 0.518 0.220 0.999
O: 0.518 0.280 0.499
O: 0.480 0.254 0.232
O: 0.482 0.780 0.001
O: 0.480 0.246 0.732
O: 0.482 0.720 0.501
O: 0.520 0.746 0.768
Gd: 0.596 0.492 0.677
Gd: 0.378 0.010 0.317
Gd: 0.596 0.008 0.177
Gd: 0.622 0.510 0.183
Gd: 0.404 0.992 0.823
Gd: 0.378 0.490 0.817
Gd: 0.404 0.508 0.323
Gd: 0.622 0.990 0.683

An optimized crystal structure of YEr2NiSn3Pt2, computed with PBE-GGA.

- energy (eV per atom) = -6.017

abc: 3.903 7.499 7.499
angles: 120.19 90.00 90.00
Element x y z (fractional)
Er: 0.000 0.405 0.000
Er: 0.000 0.000 0.405
Sn: 0.500 0.751 0.000
Sn: 0.500 0.250 0.250
Sn: 0.500 0.000 0.751
Ni: 0.000 0.002 0.002
Pt: 0.500 0.667 0.330
Pt: 0.500 0.330 0.667
Y: 0.000 0.595 0.595

An optimized crystal structure of HoThPd, computed with PBE-GGA.

- formation energy (eV/atom) = -0.3050
- energy relative to the lowest polymorph listed for this composition (meV per atom) = 0.0

abc: 4.942 4.942 4.942
angles: 60.00 60.00 60.00
Element x y z (fractional)
Ho: 0.000 0.000 0.000
Pd: 0.750 0.750 0.750
Th: 0.500 0.500 0.500

An optimized crystal structure of HfCdCoSn, computed with PBE-GGA.

- energy relative to the lowest polymorph listed for this composition (meV per atom) = 0.0

abc: 4.679 4.679 4.679
angles: 60.00 60.00 60.00
Element x y z (fractional)
Hf: 0.500 0.500 0.500
Co: 0.750 0.750 0.750
Sn: 0.000 0.000 0.000
Cd: 0.250 0.250 0.250

An optimized crystal structure of LaHfPO, computed with PBE-GGA.

- energy relative to the lowest polymorph listed for this composition (meV per atom) = 215.7

abc: 4.168 7.205 6.034
angles: 90.00 90.00 90.00
Element x y z (fractional)
O: 0.500 0.640 0.847
O: 0.500 0.360 0.347
Hf: 0.500 0.388 0.009
Hf: 0.500 0.612 0.509
P: 0.000 0.196 0.946
P: 0.000 0.804 0.446
La: 0.000 0.793 0.952
La: 0.000 0.207 0.452

An optimized crystal structure of PrHgTeO, computed with PBE-GGA.

- energy relative to the lowest polymorph listed for this composition (meV per atom) = 132.8

abc: 4.258 4.258 10.613
angles: 90.00 90.00 90.00
Element x y z (fractional)
O: 0.250 0.750 0.000
O: 0.750 0.250 0.000
Hg: 0.750 0.250 0.500
Hg: 0.250 0.750 0.500
Pr: 0.750 0.750 0.896
Pr: 0.250 0.250 0.104
Te: 0.250 0.250 0.730
Te: 0.750 0.750 0.270

An optimized crystal structure of NdDy2AgHg3Au2, computed with PBE-GGA.

- formation energy (eV/atom) = -0.5818

abc: 3.815 8.011 8.011
angles: 120.39 90.00 90.00
Element x y z (fractional)
Au: 0.500 0.328 0.668
Au: 0.500 0.668 0.328
Hg: 0.500 0.267 0.267
Hg: 0.500 0.732 0.001
Hg: 0.500 0.001 0.732
Dy: 0.000 0.000 0.405
Dy: 0.000 0.405 0.000
Ag: 0.000 0.002 0.002
Nd: 0.000 0.597 0.597

An optimized crystal structure of SnW2C, computed with PBE-GGA.

- energy (eV per atom) = -9.498

abc: 5.537 5.537 13.932
angles: 101.45 101.45 59.96
Element x y z (fractional)
W: 0.528 0.360 0.581
W: 0.472 0.640 0.419
W: 0.194 0.027 0.581
W: 0.140 0.307 0.419
W: 0.027 0.194 0.081
W: 0.640 0.472 0.919
W: 0.973 0.806 0.919
W: 0.360 0.528 0.081
W: 0.860 0.693 0.581
W: 0.806 0.973 0.419
W: 0.307 0.140 0.919
W: 0.693 0.860 0.081
C: 0.667 0.167 0.000
C: 0.500 0.000 0.500
C: 0.000 0.500 0.000
C: 0.833 0.333 0.500
C: 0.333 0.833 0.000
C: 0.167 0.667 0.500
Sn: 0.919 0.081 0.750
Sn: 0.415 0.252 0.250
Sn: 0.748 0.585 0.250
Sn: 0.252 0.415 0.750
Sn: 0.081 0.919 0.250
Sn: 0.585 0.748 0.750

An optimized crystal structure of CoBMoW, computed with PBE-GGA.

- energy relative to the lowest polymorph listed for this composition (meV per atom) = 0.0

abc: 4.155 4.155 4.155
angles: 60.00 60.00 60.00
Element x y z (fractional)
Mo: 0.250 0.250 0.250
W: 0.500 0.500 0.500
Co: 0.750 0.750 0.750
B: 0.000 0.000 0.000

An optimized crystal structure of NaAgWSeS2, computed with PBE-GGA.

- energy (eV per atom) = -5.087

abc: 7.274 7.274 9.997
angles: 90.00 90.00 152.47
Site moments in Bohr magnetons follow the coordinates.
Element x y z (fractional)
S: 0.875 0.125 0.523  0.01
S: 0.875 0.125 0.977  0.01
S: 0.125 0.875 0.023  0.01
S: 0.125 0.875 0.477  0.01
Se: 0.421 0.579 0.250  -0.04
Se: 0.579 0.421 0.750  -0.04
Na: 0.750 0.250 0.250  0.01
Na: 0.250 0.750 0.750  0.01
W: 0.500 0.500 0.000  0.89
W: 0.500 0.500 0.500  0.90
Ag: 0.068 0.932 0.250  0.05
Ag: 0.932 0.068 0.750  0.05

An optimized crystal structure of Ni2Pt, computed with PBE-GGA.

- formation energy (eV/atom) = 0.8803

abc: 5.084 5.084 4.097
angles: 90.00 90.00 90.00
Site moments in Bohr magnetons follow the coordinates.
Element x y z (fractional)
Pt: 0.500 0.500 0.500  0.44
Pt: 0.000 0.000 0.000  0.41
Ni: 0.673 0.673 0.000  0.70
Ni: 0.173 0.827 0.500  0.86
Ni: 0.827 0.173 0.500  0.86
Ni: 0.327 0.327 0.000  0.70

An optimized crystal structure of Zr4Nb2Si3C3, computed with PBE-GGA.

- energy (eV per atom) = -8.900

abc: 5.645 5.645 13.819
angles: 101.88 101.88 59.98
Element x y z (fractional)
Si: 0.308 0.416 0.251
Si: 0.584 0.692 0.249
Si: 0.692 0.584 0.749
Si: 0.139 0.861 0.750
Si: 0.416 0.308 0.751
Si: 0.861 0.139 0.250
Zr: 0.963 0.802 0.399
Zr: 0.802 0.963 0.899
Zr: 0.037 0.198 0.601
Zr: 0.130 0.300 0.899
Zr: 0.300 0.130 0.399
Zr: 0.870 0.700 0.101
Zr: 0.700 0.870 0.601
Zr: 0.198 0.037 0.101
Nb: 0.471 0.642 0.915
Nb: 0.529 0.358 0.085
Nb: 0.358 0.529 0.585
Nb: 0.642 0.471 0.415
C: 0.833 0.334 0.000
C: 0.167 0.666 0.000
C: 0.334 0.833 0.500
C: 0.000 0.500 0.500
C: 0.500 0.000 0.000
C: 0.666 0.167 0.500

An optimized crystal structure of TaGaNiPt, computed with PBE-GGA.

- energy relative to the lowest polymorph listed for this composition (meV per atom) = 80.0

abc: 4.383 4.383 4.383
angles: 60.00 60.00 60.00
Element x y z (fractional)
Pt: 0.500 0.500 0.500
Ni: 0.750 0.750 0.750
Ta: 0.250 0.250 0.250
Ga: 0.000 0.000 0.000

An optimized crystal structure of GdErTe2, computed with PBE-GGA.

- energy (eV per atom) = -5.170

abc: 4.228 4.228 7.624
angles: 90.00 90.00 120.00
Element x y z (fractional)
Er: 0.000 0.000 0.500
Te: 0.667 0.333 0.743
Te: 0.333 0.667 0.257
Gd: 0.000 0.000 0.000

An optimized crystal structure of PrAgB, computed with PBE-GGA.

- energy relative to the lowest polymorph listed for this composition (meV per atom) = 0.0

abc: 4.430 4.430 4.430
angles: 60.00 60.00 60.00
Site moments in Bohr magnetons follow the coordinates.
Element x y z (fractional)
B: 0.000 0.000 0.000  0.11
Ag: 0.250 0.250 0.250  0.04
Pr: 0.750 0.750 0.750  0.07

An optimized crystal structure of LaSbIr, computed with PBE-GGA.

- energy (eV per atom) = -6.752

abc: 5.961 4.464 11.411
angles: 90.00 90.00 90.00
Element x y z (fractional)
Sb: 0.273 0.750 0.847
Sb: 0.773 0.750 0.653
Sb: 0.727 0.250 0.153
Sb: 0.227 0.250 0.347
Ir: 0.602 0.750 0.046
Ir: 0.102 0.750 0.454
Ir: 0.398 0.250 0.954
Ir: 0.898 0.250 0.546
La: 0.154 0.750 0.131
La: 0.654 0.750 0.369
La: 0.846 0.250 0.869
La: 0.346 0.250 0.631

An optimized crystal structure of Tb2BiTe, computed with PBE-GGA.

- energy (eV per atom) = -5.241

abc: 6.260 6.260 12.529
angles: 90.00 90.00 90.00
Element x y z (fractional)
Tb: 0.000 0.250 0.626
Tb: 0.500 0.750 0.624
Tb: 0.000 0.750 0.374
Tb: 0.500 0.250 0.874
Tb: 0.500 0.250 0.376
Tb: 0.000 0.250 0.124
Tb: 0.500 0.750 0.126
Tb: 0.000 0.750 0.876
Bi: 0.000 0.750 0.125
Bi: 0.000 0.250 0.875
Bi: 0.500 0.250 0.625
Bi: 0.500 0.750 0.375
Te: 0.500 0.750 0.875
Te: 0.500 0.250 0.125
Te: 0.000 0.250 0.375
Te: 0.000 0.750 0.625

An optimized crystal structure of LaZnIn2H, computed with PBE-GGA.

- energy (eV per atom) = -3.197

abc: 6.578 6.578 6.578
angles: 141.91 141.91 54.97
Element x y z (fractional)
Zn: 0.409 0.409 0.000
H: 0.550 0.550 0.000
In: 0.758 0.258 0.500
In: 0.258 0.758 0.500
La: 0.025 0.025 0.000

An optimized crystal structure of Co3B, computed with PBE-GGA.

- energy (eV per atom) = -6.824

abc: 3.971 3.971 3.971
angles: 127.98 127.98 76.66
Element x y z (fractional)
Co: 0.750 0.250 0.500
Co: 0.500 0.500 0.000
Co: 0.250 0.750 0.500
B: 0.000 0.000 0.000

An optimized crystal structure of B2MoPd, computed with PBE-GGA.

- energy (eV per atom) = -6.173

abc: 4.048 4.048 4.048
angles: 60.00 60.00 60.00
Site moments in Bohr magnetons follow the coordinates.
Element x y z (fractional)
Pd: 0.750 0.750 0.750  0.06
B: 0.250 0.250 0.250  0.02
B: 0.000 0.000 0.000  -0.01
Mo: 0.500 0.500 0.500  0.32

An optimized crystal structure of Si2TcAu, computed with PBE-GGA.

- energy (eV per atom) = -5.612

abc: 4.445 4.445 4.445
angles: 60.00 60.00 60.00
Site moments in Bohr magnetons follow the coordinates.
Element x y z (fractional)
Tc: 0.250 0.250 0.250  0.41
Au: 0.000 0.000 0.000  0.01
Si: 0.500 0.500 0.500  -0.02
Si: 0.750 0.750 0.750  0.01

An optimized crystal structure of La3CoPb, computed with PBE-GGA.

- energy (eV per atom) = -5.512

abc: 5.325 5.325 5.325
angles: 90.00 90.00 90.00
Element x y z (fractional)
La: 0.500 0.000 0.000
La: 0.000 0.000 0.500
La: 0.000 0.500 0.000
Pb: 0.500 0.500 0.500
Co: 0.000 0.000 0.000

An optimized crystal structure of Nb2ZnAu, computed with PBE-GGA.

- formation energy (eV/atom) = 0.2347

abc: 4.620 4.620 4.620
angles: 60.00 60.00 60.00
Site moments in Bohr magnetons follow the coordinates.
Element x y z (fractional)
Zn: 0.500 0.500 0.500  0.01
Nb: 0.000 0.000 0.000  0.14
Nb: 0.750 0.750 0.750  0.33
Au: 0.250 0.250 0.250  0.03